DFT (PBE-GGA) results for a relaxed structure of Ag2Hg2Pd. Values from VASP.

Cell and atoms, written as Quantum ESPRESSO input:
```
&SYSTEM
  ibrav = 0, nat = 10, ntyp = 3
/
ATOMIC_SPECIES
Ag 107.87 Ag.upf
Hg 200.59 Hg.upf
Pd 106.42 Pd.upf
CELL_PARAMETERS angstrom
4.186 0.000 1.264
1.615 4.024 2.213
-1.178 1.262 11.460
ATOMIC_POSITIONS crystal
Ag 0.348 0.259 0.546
Hg 0.554 0.241 0.152
Ag 0.848 0.759 0.046
Pd 0.251 0.750 0.250
Hg 0.446 0.759 0.848
Ag 0.152 0.241 0.954
Hg 0.947 0.259 0.348
Pd 0.749 0.250 0.750
Ag 0.652 0.741 0.454
Hg 0.053 0.741 0.652
```

The calculation puts the formation energy at -0.01 eV/atom. Its energy relative to the lowest polymorph listed for this composition is 0 meV per atom.

DFT (PBE-GGA) results for a relaxed structure of TiAs3Br. Values from VASP.

Cell and atoms, written as Quantum ESPRESSO input:
```
&SYSTEM
  ibrav = 0, nat = 5, ntyp = 3
/
ATOMIC_SPECIES
As 74.92 As.upf
Ti 47.87 Ti.upf
Br 79.90 Br.upf
CELL_PARAMETERS angstrom
4.917 0.000 0.000
0.000 4.917 0.000
0.000 0.000 4.917
ATOMIC_POSITIONS crystal
As 0.500 0.000 0.000
Ti 0.000 0.000 0.000
As 0.000 0.500 0.000
As 0.000 0.000 0.500
Br 0.500 0.500 0.500
```

Its raw formation energy is 78 meV/atom. Its energy relative to the lowest polymorph listed for this composition is 0 meV per atom.

DFT (PBE-GGA) results for a relaxed structure of CoTcCl2. Values from VASP.

Cell and atoms, written as Quantum ESPRESSO input:
```
&SYSTEM
  ibrav = 0, nat = 4, ntyp = 3
/
ATOMIC_SPECIES
Co 58.93 Co.upf
Cl 35.45 Cl.upf
Tc 98.00 Tc.upf
CELL_PARAMETERS angstrom
-1.927 -1.967 3.383
2.448 -3.548 -0.668
2.123 1.115 1.857
ATOMIC_POSITIONS crystal
Co 0.500 0.000 0.500
Cl 0.500 0.500 0.000
Cl 0.000 0.000 0.000
Tc 0.000 0.500 0.500
```

Its raw formation energy is 791 meV/atom. Its energy relative to the lowest polymorph listed for this composition is 808 meV per atom.

DFT (PBE-GGA) results for a relaxed structure of ErTaC. Values from VASP.

Cell and atoms, written as Quantum ESPRESSO input:
```
&SYSTEM
  ibrav = 0, nat = 9, ntyp = 3
/
ATOMIC_SPECIES
Er 167.26 Er.upf
C 12.01 C.upf
Ta 180.95 Ta.upf
CELL_PARAMETERS angstrom
5.701 0.000 0.000
2.851 4.937 0.000
2.851 1.646 5.416
ATOMIC_POSITIONS crystal
Er 0.569 0.921 0.257
C 0.149 0.149 0.552
Ta 0.745 0.411 0.768
C 0.347 0.347 0.960
Er 0.921 0.253 0.257
Ta 0.077 0.745 0.768
C 0.678 0.678 0.966
Ta 0.411 0.077 0.768
Er 0.253 0.569 0.257
```

The calculation puts the formation energy at -0.22 eV/atom. Its energy relative to the lowest polymorph listed for this composition is 72 meV per atom.

DFT (PBE-GGA) results for a relaxed structure of Th5Cd4Hg. Values from VASP.

Cell and atoms, written as Quantum ESPRESSO input:
```
&SYSTEM
  ibrav = 0, nat = 10, ntyp = 3
/
ATOMIC_SPECIES
Th 232.04 Th.upf
Cd 112.41 Cd.upf
Hg 200.59 Hg.upf
CELL_PARAMETERS angstrom
3.836 0.000 0.000
0.000 3.836 0.000
0.000 0.000 19.294
ATOMIC_POSITIONS crystal
Th 0.500 0.500 0.901
Th 0.500 0.500 0.500
Cd 0.000 0.000 0.600
Cd 0.000 0.000 0.800
Cd 0.000 0.000 0.200
Th 0.500 0.500 0.300
Hg 0.000 0.000 0.000
Th 0.500 0.500 0.099
Th 0.500 0.500 0.700
Cd 0.000 0.000 0.400
```

The calculation puts the formation energy at -0.08 eV/atom.

DFT (PBE-GGA) results for a relaxed structure of Ti2In3Ag. Values from VASP.

Cell and atoms, written as Quantum ESPRESSO input:
```
&SYSTEM
  ibrav = 0, nat = 6, ntyp = 3
/
ATOMIC_SPECIES
Ti 47.87 Ti.upf
In 114.82 In.upf
Ag 107.87 Ag.upf
CELL_PARAMETERS angstrom
3.055 0.000 0.000
0.000 3.055 0.000
0.000 0.000 12.569
ATOMIC_POSITIONS crystal
Ti 0.500 0.500 0.165
In 0.000 0.000 0.672
In 0.000 0.000 0.000
Ti 0.500 0.500 0.835
In 0.000 0.000 0.328
Ag 0.500 0.500 0.500
```

The calculation puts the formation energy at -0.09 eV/atom.

DFT (PBE-GGA) results for a relaxed structure of BaAcTlGe. Values from VASP.

Cell and atoms, written as Quantum ESPRESSO input:
```
&SYSTEM
  ibrav = 0, nat = 4, ntyp = 4
/
ATOMIC_SPECIES
Ba 137.33 Ba.upf
Ge 72.64 Ge.upf
Tl 204.38 Tl.upf
Ac 227.00 Ac.upf
CELL_PARAMETERS angstrom
5.780 0.000 0.000
2.890 5.006 0.000
2.890 1.669 4.719
ATOMIC_POSITIONS crystal
Ba 0.250 0.250 0.250
Ge 0.500 0.500 0.500
Tl 0.000 0.000 0.000
Ac 0.750 0.750 0.750
```

The calculation puts the formation energy at -0.36 eV/atom.

DFT (PBE-GGA) results for a relaxed structure of PmEuCuAs. Values from VASP.

Cell and atoms, written as Quantum ESPRESSO input:
```
&SYSTEM
  ibrav = 0, nat = 4, ntyp = 4
/
ATOMIC_SPECIES
Cu 63.55 Cu.upf
Pm 145.00 Pm.upf
As 74.92 As.upf
Eu 151.96 Eu.upf
CELL_PARAMETERS angstrom
-0.347 -4.321 -2.739
-0.184 -4.537 2.381
-4.354 -2.708 0.024
ATOMIC_POSITIONS crystal
Cu 0.250 0.250 0.250
Pm 0.000 0.000 0.000
As 0.750 0.750 0.750
Eu 0.500 0.500 0.500
```

The calculation puts the formation energy at -0.60 eV/atom.

DFT (PBE-GGA) results for a relaxed structure of CaTi. Values from VASP.

Cell and atoms, written as Quantum ESPRESSO input:
```
&SYSTEM
  ibrav = 0, nat = 16, ntyp = 2
/
ATOMIC_SPECIES
Ti 47.87 Ti.upf
Ca 40.08 Ca.upf
CELL_PARAMETERS angstrom
10.551 0.000 0.000
0.000 10.551 0.000
0.000 0.000 4.772
ATOMIC_POSITIONS crystal
Ti 0.336 0.585 0.500
Ti 0.320 0.458 0.000
Ca 0.855 0.281 0.000
Ca 0.624 0.112 0.500
Ti 0.415 0.336 0.500
Ti 0.542 0.320 0.000
Ca 0.376 0.888 0.500
Ti 0.664 0.415 0.500
Ca 0.145 0.719 0.000
Ti 0.680 0.542 0.000
Ti 0.585 0.664 0.500
Ti 0.458 0.680 0.000
Ca 0.112 0.376 0.500
Ca 0.719 0.855 0.000
Ca 0.281 0.145 0.000
Ca 0.888 0.624 0.500
```

The calculation puts the formation energy at 0.45 eV/atom. Its energy relative to the lowest polymorph listed for this composition is 0 meV per atom.

DFT (PBE-GGA) results for a relaxed structure of CePd4Pt5. Values from VASP.

Cell and atoms, written as Quantum ESPRESSO input:
```
&SYSTEM
  ibrav = 0, nat = 20, ntyp = 3
/
ATOMIC_SPECIES
Pd 106.42 Pd.upf
Ce 140.12 Ce.upf
Pt 195.08 Pt.upf
CELL_PARAMETERS angstrom
-3.248 3.107 1.408
2.720 -1.171 8.855
5.446 6.086 -0.868
ATOMIC_POSITIONS crystal
Pd 0.244 0.252 0.000
Ce 0.604 0.000 0.000
Pt 0.252 0.763 0.329
Pt 0.748 0.737 0.829
Pt 0.748 0.263 0.829
Pd 0.120 0.500 0.189
Pt 0.252 0.763 0.671
Pd 0.756 0.752 0.500
Pt 0.397 0.000 0.500
Pt 0.603 0.500 0.000
Pt 0.252 0.237 0.671
Pd 0.756 0.248 0.500
Pd 0.880 0.000 0.689
Pt 0.252 0.237 0.329
Pt 0.748 0.737 0.171
Pd 0.880 0.000 0.311
Pt 0.748 0.263 0.171
Ce 0.396 0.500 0.500
Pd 0.120 0.500 0.811
Pd 0.244 0.748 0.000
```

The calculation puts the formation energy at -0.31 eV/atom.

DFT (PBE-GGA) results for a relaxed structure of ScCd2Os. Values from VASP.

Cell and atoms, written as Quantum ESPRESSO input:
```
&SYSTEM
  ibrav = 0, nat = 4, ntyp = 3
/
ATOMIC_SPECIES
Sc 44.96 Sc.upf
Cd 112.41 Cd.upf
Os 190.23 Os.upf
CELL_PARAMETERS angstrom
9.778 0.034 0.020
9.280 3.081 0.020
9.280 1.517 2.682
ATOMIC_POSITIONS crystal
Sc 0.761 0.761 0.761
Cd 0.002 0.002 0.002
Os 0.494 0.494 0.494
Cd 0.242 0.242 0.242
```

The calculation puts the formation energy at 0.12 eV/atom. Its energy relative to the lowest polymorph listed for this composition is 144 meV per atom.

What did the tenth record say?
DFT (PBE-GGA) results for a relaxed structure of CePd4Pt5. Values from VASP.

Cell and atoms, written as Quantum ESPRESSO input:
```
&SYSTEM
  ibrav = 0, nat = 20, ntyp = 3
/
ATOMIC_SPECIES
Pd 106.42 Pd.upf
Ce 140.12 Ce.upf
Pt 195.08 Pt.upf
CELL_PARAMETERS angstrom
-3.248 3.107 1.408
2.720 -1.171 8.855
5.446 6.086 -0.868
ATOMIC_POSITIONS crystal
Pd 0.244 0.252 0.000
Ce 0.604 0.000 0.000
Pt 0.252 0.763 0.329
Pt 0.748 0.737 0.829
Pt 0.748 0.263 0.829
Pd 0.120 0.500 0.189
Pt 0.252 0.763 0.671
Pd 0.756 0.752 0.500
Pt 0.397 0.000 0.500
Pt 0.603 0.500 0.000
Pt 0.252 0.237 0.671
Pd 0.756 0.248 0.500
Pd 0.880 0.000 0.689
Pt 0.252 0.237 0.329
Pt 0.748 0.737 0.171
Pd 0.880 0.000 0.311
Pt 0.748 0.263 0.171
Ce 0.396 0.500 0.500
Pd 0.120 0.500 0.811
Pd 0.244 0.748 0.000
```

The calculation puts the formation energy at -0.31 eV/atom.